First-principles (PBE) data for a relaxed Au2IBr4 crystal, as listed in the Alexandria database.

Unit cell a=8.2190 b=8.2198 c=9.4102 alpha=107.77 beta=107.91 gamma=105.29
Space group P-1 (No. 2)
Inequivalent atoms, fractional coordinates:
Au1 0.0000 0.0000 0.0000 x1
Au2 0.0000 0.0000 0.5000 x1
Au3 0.0000 0.5000 0.0000 x1
Au4 0.5000 0.0000 0.5000 x1
I1 0.4796 0.5210 0.7504 x2
Br1 0.1777 0.7837 0.9939 x2
Br2 0.2130 0.2621 0.4490 x2
Br3 0.2160 0.8221 0.5055 x2
Br4 0.2608 0.2123 0.9478 x2

Calculated values
* formation energy (no corrections): -54 meV per atom
* volume: 37.81 A^3/atom
* Fermi-level density of states: 0.631 states/eV/atom

=====

First-principles (PBE) data for a relaxed Na6S2F crystal, as listed in the Alexandria database.

Unit cell a=4.0058 b=12.3541 c=7.8765 alpha=90.00 beta=90.00 gamma=90.00
Space group Amm2 (No. 38)
Inequivalent atoms, fractional coordinates:
Na1 0.0000 0.0000 0.0000 x2
Na2 0.0000 0.1161 0.5832 x4
Na3 0.5000 0.0000 0.2868 x2
Na4 0.5000 0.2168 0.9335 x4
S1 0.0000 0.1764 0.2253 x4
F1 0.5000 0.0000 0.5669 x2

Calculated values
* formation energy (no corrections): -1134 meV per atom
* volume: 21.66 A^3/atom
* Fermi-level density of states: 0.170 states/eV/atom

=====

First-principles (PBE) data for a relaxed KPb7 crystal, as listed in the Alexandria database.

Unit cell a=10.0752 b=10.0752 c=10.0752 alpha=90.00 beta=90.00 gamma=90.00
Space group Fm-3m (No. 225)
Inequivalent atoms, fractional coordinates:
K1 0.0000 0.0000 0.0000 x4
Pb1 0.0000 0.0000 0.5000 x4
Pb2 0.0000 0.2500 0.2500 x24

Calculated values
* formation enthalpy at 0 K: -0.02 eV per atom
* volume: 31.96 A^3/atom
* Fermi-level density of states: 0.563 states/eV/atom